1.
Computed, not measured: Nd6Dy2HoEr after structural relaxation at the GGA-PBE level of DFT.

a b c (Å): 9.655 8.955 8.955
angles (deg): 117.84 93.93 93.93
Positions (direct):
Nd1 0.054 0.117 0.762
Er1 0.250 0.973 0.027
Nd2 0.446 0.238 0.883
Ho1 0.750 0.589 0.411
Nd3 0.882 0.292 0.509
Dy1 0.546 0.199 0.297
Nd4 0.812 0.434 0.990
Nd5 0.554 0.762 0.117
Dy2 0.046 0.297 0.199
Nd6 0.946 0.883 0.238
Nd7 0.618 0.491 0.708
Nd8 0.382 0.509 0.292
Dy3 0.954 0.703 0.801
Nd9 0.118 0.708 0.491
Nd10 0.312 0.990 0.434
Er2 0.750 0.027 0.973
Ho2 0.250 0.411 0.589
Nd11 0.688 0.010 0.566
Nd12 0.188 0.566 0.010
Dy4 0.454 0.801 0.703

Properties
E_form, eV per atom: 0.116

---

2.
Computed, not measured: CaPm3Sm4 after structural relaxation at the GGA-PBE level of DFT.

a b c (Å): 5.798 3.694 13.457
angles (deg): 89.96 102.44 90.00
Positions (direct):
Pm1 0.000 0.500 0.000
Pm2 0.849 0.000 0.699
Sm1 0.276 0.501 0.552
Pm3 0.151 0.000 0.301
Sm2 0.396 0.501 0.791
Sm3 0.604 0.499 0.209
Sm4 0.724 0.499 0.448
Ca1 0.500 0.000 0.000

Properties
E_form, eV per atom: 0.219

---

3.
Computed, not measured: CuOsN2O after structural relaxation at the GGA-PBE level of DFT.

a b c (Å): 3.841 3.841 3.880
angles (deg): 90.00 90.00 90.00
Site moments in Bohr magnetons follow the coordinates.
Positions (direct):
N1 0.000 0.500 0.000  -0.14
Cu1 0.500 0.500 0.500  -0.04
N2 0.500 0.000 0.000  -0.14
O1 0.000 0.000 0.500  0.01
Os1 0.000 0.000 0.000  0.01

Properties
E_tot, eV/atom: -6.7116